[1]
# BaInPt2 PBE optimized geometry
data_BaInPt2
_symmetry_space_group_name_H-M 'I -4 m 2'
_symmetry_Int_Tables_number 119
_symmetry_space_group_name_Hall 'I -4 -2'
_cell_length_a 4.3353
_cell_length_b 4.3353
_cell_length_c 9.9763
_cell_angle_alpha 90.00
_cell_angle_beta 90.00
_cell_angle_gamma 90.00
loop_
_atom_site_label
_atom_site_type_symbol
_atom_site_fract_x
_atom_site_fract_y
_atom_site_fract_z
Ba1 Ba 0.0000 0.0000 0.0000
In1 In 0.0000 0.5000 0.7500
Pt1 Pt 0.0000 0.0000 0.5000
Pt2 Pt 0.0000 0.5000 0.2500
# Crystal system: tetragonal
# Total magnetization in Bohr magnetons per cell: 0.000
# Formation energy from the elements in eV per atom: -0.20

[2]
# Ba5InPt2 PBE optimized geometry
data_Ba5InPt2
_symmetry_space_group_name_H-M 'I m m m'
_symmetry_Int_Tables_number 71
_symmetry_space_group_name_Hall '-I 2 2'
_cell_length_a 4.6819
_cell_length_b 8.2057
_cell_length_c 16.9061
_cell_angle_alpha 90.00
_cell_angle_beta 90.00
_cell_angle_gamma 90.00
loop_
_atom_site_label
_atom_site_type_symbol
_atom_site_fract_x
_atom_site_fract_y
_atom_site_fract_z
Ba1 Ba 0.0000 0.0000 0.0000
Ba2 Ba 0.0000 0.2363 0.3487
In1 In 0.0000 0.5000 0.0000
Pt1 Pt 0.0000 0.0000 0.1898
# Crystal system: orthorhombic
# Total magnetization in Bohr magnetons per cell: 0.000
# Formation energy from the elements in eV per atom: -0.51

[3]
# Ba2In3Pt PBE optimized geometry
data_Ba2In3Pt
_symmetry_space_group_name_H-M 'C 1 m 1'
_symmetry_Int_Tables_number 8
_cell_length_a 12.0585
_cell_length_b 4.9091
_cell_length_c 8.2274
_cell_angle_alpha 90.00
_cell_angle_beta 130.16
_cell_angle_gamma 90.00
loop_
_symmetry_equiv_pos_as_xyz
'x,y,z'
'x,-y,z'
'x+1/2,y+1/2,z'
'x+1/2,-y+1/2,z'
loop_
_atom_site_label
_atom_site_type_symbol
_atom_site_fract_x
_atom_site_fract_y
_atom_site_fract_z
Ba1 Ba 0.0000 0.0000 0.0000
Ba2 Ba 0.1327 0.0000 0.6077
In1 In 0.2525 0.5000 0.3904
In2 In 0.3693 0.0000 0.1965
In3 In 0.4379 0.0000 0.6248
Pt1 Pt 0.2214 0.5000 0.0185
# Crystal system: monoclinic
# Total magnetization in Bohr magnetons per cell: 0.000
# Formation energy from the elements in eV per atom: -0.55

[4]
# Ba6InPt3 PBE optimized geometry
data_Ba6InPt3
_symmetry_space_group_name_H-M 'P 1 21/m 1'
_symmetry_Int_Tables_number 11
_cell_length_a 13.3180
_cell_length_b 4.6759
_cell_length_c 13.7096
_cell_angle_alpha 90.00
_cell_angle_beta 108.73
_cell_angle_gamma 90.00
loop_
_symmetry_equiv_pos_as_xyz
'x,y,z'
'-x,-y,-z'
'-x,y+1/2,-z'
'x,-y+1/2,z'
loop_
_atom_site_label
_atom_site_type_symbol
_atom_site_fract_x
_atom_site_fract_y
_atom_site_fract_z
Ba1 Ba 0.0281 0.2500 0.3901
Ba2 Ba 0.1100 0.2500 0.9479
Ba3 Ba 0.2105 0.7500 0.2626
Ba4 Ba 0.2889 0.7500 0.7577
Ba5 Ba 0.3631 0.2500 0.5330
Ba6 Ba 0.4247 0.7500 0.0840
In1 In 0.4413 0.2500 0.2945
Pt1 Pt 0.0475 0.2500 0.1624
Pt2 Pt 0.1843 0.7500 0.4991
Pt3 Pt 0.3393 0.2500 0.9175
# Crystal system: monoclinic
# Total magnetization in Bohr magnetons per cell: 0.000
# Formation energy from the elements in eV per atom: -0.58

[5]
# Ba3In2Pt PBE optimized geometry
data_Ba3In2Pt
_symmetry_space_group_name_H-M 'C 1 2/c 1'
_symmetry_Int_Tables_number 15
_cell_length_a 11.1555
_cell_length_b 11.8850
_cell_length_c 7.2170
_cell_angle_alpha 90.00
_cell_angle_beta 109.21
_cell_angle_gamma 90.00
loop_
_symmetry_equiv_pos_as_xyz
'x,y,z'
'-x,-y,-z'
'-x,y,-z+1/2'
'x,-y,z+1/2'
'x+1/2,y+1/2,z'
'-x+1/2,-y+1/2,-z'
'-x+1/2,y+1/2,-z+1/2'
'x+1/2,-y+1/2,z+1/2'
loop_
_atom_site_label
_atom_site_type_symbol
_atom_site_fract_x
_atom_site_fract_y
_atom_site_fract_z
Ba1 Ba 0.0000 0.0841 0.2500
Ba2 Ba 0.1652 0.3844 0.0630
In1 In 0.1587 0.3072 0.5743
Pt1 Pt 0.0000 0.1957 0.7500
# Crystal system: monoclinic
# Total magnetization in Bohr magnetons per cell: 0.000
# Formation energy from the elements in eV per atom: -0.50

[6]
# Ba2In7Pt PBE optimized geometry
data_Ba2In7Pt
_symmetry_space_group_name_H-M 'P -4 m 2'
_symmetry_Int_Tables_number 115
_cell_length_a 4.9416
_cell_length_b 4.9416
_cell_length_c 12.0117
_cell_angle_alpha 90.00
_cell_angle_beta 90.00
_cell_angle_gamma 90.00
loop_
_symmetry_equiv_pos_as_xyz
'x,y,z'
'y,-x,-z'
'-x,-y,z'
'-y,x,-z'
'-x,y,z'
'-y,-x,-z'
'x,-y,z'
'y,x,-z'
loop_
_atom_site_label
_atom_site_type_symbol
_atom_site_fract_x
_atom_site_fract_y
_atom_site_fract_z
Ba1 Ba 0.0000 0.5000 0.2357
In1 In 0.0000 0.0000 0.0000
In2 In 0.0000 0.0000 0.5000
In3 In 0.0000 0.5000 0.6423
In4 In 0.0000 0.5000 0.8831
In5 In 0.5000 0.5000 0.5000
Pt1 Pt 0.5000 0.5000 0.0000
# Crystal system: tetragonal
# Total magnetization in Bohr magnetons per cell: 0.000
# Formation energy from the elements in eV per atom: -0.40